No. 1
A plane-wave DFT calculation with PBE was carried out for a relaxed structure of Ag4Ru.

offset from the most stable computed form = 0.0000 eV/atom
calculated formation energy = 422 meV per atom
spin magnetization = 1.60 μB/f.u.

Cell: 5.005 5.005 5.005 Å, 99.83 99.83 131.18°
Last column: magnetic moment on the atom in μB.
Element x y z (fractional)
Ag 0.398 0.797 0.195  0.03
Ag 0.203 0.398 0.600  0.03
Ag 0.602 0.203 0.805  0.03
Ag 0.797 0.602 0.400  0.03
Ru 0.000 0.000 0.000  1.46

No. 2
A plane-wave DFT calculation with PBE was carried out for a relaxed structure of PmTi3B4O12.

formation energy from raw total energies = -5218 kJ/mol of formula units
spin magnetization = 3.00 μB/f.u.

Cell: 6.192 6.192 6.192 Å, 104.28 104.28 104.28°
Last column: magnetic moment on the atom in μB.
Element x y z (fractional)
B 0.500 0.500 0.500  0.03
B 0.937 0.063 0.500  0.01
B 0.500 0.937 0.063  0.01
B 0.063 0.500 0.937  0.01
O 0.212 0.369 0.960  0.00
O 0.500 0.359 0.641  0.00
O 0.500 0.080 0.920  -0.01
O 0.631 0.788 0.040  0.00
O 0.369 0.960 0.212  0.00
O 0.080 0.920 0.500  -0.01
O 0.359 0.641 0.500  0.00
O 0.960 0.212 0.369  0.00
O 0.040 0.631 0.788  0.00
O 0.788 0.040 0.631  0.00
O 0.920 0.500 0.080  -0.01
O 0.641 0.500 0.359  0.00
Pm 0.000 0.000 0.000  0.02
Ti 0.438 0.000 0.562  0.88
Ti 0.000 0.562 0.438  0.88
Ti 0.562 0.438 0.000  0.88

Which of these has the highest spin magnetization?
PmTi3B4O12

Which of these has the highest spin magnetization?
PmTi3B4O12

Look up the spin magnetization of the first one.
1.60 μB/f.u.

Number 1 is which compound?
Ag4Ru